DFT (SCAN) results for a PBEsol-optimized structure of ReAgOs2.

```
ReAgOs2
1.0
1.366 0.789 9.115
-1.366 0.789 9.115
0.000 -1.577 9.115
Re Ag Os
1 1 2
Cartesian
0.000 0.000 0.000
0.000 0.000 13.672
0.000 0.000 6.972
0.000 0.000 20.371
```

Output
Magnetic moment in Bohr magnetons per cell: 0.00
Theoretical density in g/cm³: 19.01
Symmetry: R-3m, No. 166
Energy above the most stable polymorph in this dataset in meV per atom: 0.0
Total energy in eV/f.u.: -245.14
Energy of formation from the pure elements in meV per atom: 270
Fermi-level density of states in states/eV/f.u.: 2.137